This record from the Alexandria database describes Y3PdPt after structural relaxation. The functional is PBE-GGA.

Values from the calculation:
The energy above the most stable polymorph in this dataset is 0.000 eV per atom. Its space group is P-1, No. 2. The formation energy is -4.2 eV/f.u.

Cell and atoms, written as extended XYZ:
```
10
Lattice="5.576 0.000 0.000 -0.070 7.140 0.000 -2.763 -1.001 6.519" Properties=species:S:1:pos:R:3 pbc="T T T"
Y -0.644 0.844 2.190
Y 0.574 4.344 2.173
Y -0.555 0.812 6.493
Y 3.298 5.327 0.027
Y 2.169 1.795 4.346
Y 3.387 5.295 4.329
Pd 0.592 6.340 4.422
Pd 2.151 -0.200 2.098
Pt -0.581 2.787 4.420
Pt 3.324 3.352 2.099
```